1.
A relaxed structure of Sr2HoSi3Au12. Source: Alexandria via LeMat-Bulk, functional PBE.

Results
* final energy: -3.733 eV/atom
* SG: R-3m (166)
* uncorrected formation energy: -3.65 eV per formula unit

The structure in POSCAR format:
```
Sr2HoSi3Au12
1.0
-5.6706 -5.6810 -1.7463
3.0539 -6.9630 -3.1096
-0.1196 -6.3520 5.2075
Sr Ho Si Au
2 1 3 12
direct
0.5987 0.5987 0.5987
0.4013 0.4013 0.4013
0.0000 0.0000 0.0000
0.5000 0.0000 0.0000
0.0000 0.5000 0.0000
0.0000 0.0000 0.5000
0.3134 0.3134 0.8635
0.8611 0.8611 0.3928
0.3928 0.8611 0.8611
0.8635 0.3134 0.3134
0.8611 0.3928 0.8611
0.3134 0.8635 0.3134
0.6866 0.6866 0.1365
0.1389 0.1389 0.6072
0.6072 0.1389 0.1389
0.1365 0.6866 0.6866
0.1389 0.6072 0.1389
0.6866 0.1365 0.6866
```

2.
A relaxed structure of ZrTcGe2Pb. Source: Alexandria via LeMat-Bulk, functional PBE.

Results
* final energy: -4.798 eV/atom
* SG: P4/mmm (123)
* formation enthalpy at 0 K: 1.57 eV/atom

The structure in POSCAR format:
```
ZrTcGe2Pb
1.0
-3.7585 2.8403 2.1801
1.7570 -1.1976 4.5893
3.0933 4.1675 -0.0968
Pb Ge Tc Zr
1 2 1 1
direct
0.0000 0.0000 0.0000
0.0000 0.0000 0.5000
0.5000 0.0000 0.0000
0.0000 0.5000 0.0000
0.5000 0.5000 0.5000
```

3.
A relaxed structure of HoIn2Hg6. Source: Alexandria via LeMat-Bulk, functional PBE.

Results
* final energy: -1.445 eV/atom
* SG: C2/m (12)
* formation enthalpy at 0 K: -0.13 eV/atom

The structure in POSCAR format:
```
HoIn2Hg6
1.0
-0.3691 4.6929 0.8869
-4.3423 1.1807 4.7537
3.4819 0.0330 7.6791
Ho In Hg
1 2 6
direct
0.0000 0.0000 0.5000
0.5000 0.8353 0.8293
0.5000 0.1647 0.1707
0.1680 0.8376 0.1770
0.8320 0.4854 0.1770
0.8320 0.1624 0.8230
0.1680 0.5146 0.8230
0.3282 0.3392 0.5000
0.6718 0.6608 0.5000
```